No. 1
Density functional theory data (PBE-GGA) for crystalline Ba8As3PtCl4 at its relaxed geometry.

The density of states at the Fermi level is 6.35 states/eV/f.u. As for the raw formation energy: -25.621 eV/f.u.

Cell and atoms, written as POSCAR:
```
Ba8As3PtCl4
1.0
-4.307 6.879 -4.810
-8.342 -4.118 1.581
5.655 2.135 7.242
Ba Cl As Pt
8 4 3 1
Cartesian
-3.698 4.235 4.709
-2.622 5.206 0.541
-0.451 1.749 2.906
-3.297 0.661 -0.695
-5.466 4.125 -3.117
-6.544 3.147 1.108
-1.529 0.771 7.131
-4.373 -0.310 3.472
0.674 4.507 1.216
-2.154 3.439 -2.405
0.000 0.000 0.000
2.827 1.068 3.621
-1.344 -0.991 4.412
-3.497 2.448 2.007
-6.325 1.380 -1.614
-4.171 -2.059 0.791
```

---

No. 2
Density functional theory data (PBE-GGA) for crystalline Sm2PuZn3Pt4 at its relaxed geometry.

The density of states at the Fermi level is 11.47 states/eV/f.u. As for the total energy: -0.43382 Ry per atom.

Cell and atoms, written as POSCAR:
```
Sm2PuZn3Pt4
1.0
4.204 0.000 0.000
0.000 4.204 0.000
0.000 0.000 11.544
Sm Zn Pu Pt
2 3 1 4
Cartesian
2.102 0.000 2.599
0.000 2.102 8.945
0.000 0.000 5.772
0.000 2.102 1.442
2.102 0.000 10.102
2.102 2.102 5.772
0.000 0.000 0.000
2.102 0.000 7.614
0.000 2.102 3.930
2.102 2.102 0.000
```

---

No. 3
Density functional theory data (PBE-GGA) for crystalline BaPt at its relaxed geometry.

The density of states at the Fermi level is 0.79 states/eV/f.u. As for the total energy: -0.34077 Ry per atom.

Cell and atoms, written as POSCAR:
```
BaPt
1.0
3.262 -2.845 4.436
3.466 -5.105 0.588
7.814 1.876 -0.688
Ba Pt
3 3
Cartesian
4.358 -1.272 0.978
8.317 -2.117 1.683
0.496 -0.546 0.347
9.514 -6.623 4.392
5.289 -6.241 3.944
10.262 -4.314 3.076
```